YAl4Pd2Pt: optimized geometry, PBE.

Unit cell a=4.2855 b=4.2855 c=9.1276 alpha=76.42 beta=76.42 gamma=60.00
Positions (direct):
Y 0.0000 0.0000 0.0000
Al 0.4023 0.4023 0.7932
Al 0.8669 0.8669 0.3993
Al 0.1331 0.1331 0.6007
Al 0.5977 0.5977 0.2068
Pd 0.7568 0.7568 0.7296
Pd 0.2432 0.2432 0.2704
Pt 0.5000 0.5000 0.5000

Calculated values
energy relative to the elements = -804 meV/atom
density of states at the Fermi level = 0.485 states/eV per atom